Cs2InSb: optimized geometry, PBEsol.

Calculated values
total DFT energy (no corrections)	-2.406	eV/atom
theoretical density	5.02	g cm⁻³
Fermi-level density of states	0.1615	states/eV per atom
ΔE_f (raw)	-0.049	eV/atom
total moment	0.00	μB/atom

a b c (Å): 6.1710 6.1710 6.1710
angles (deg): 60.00 60.00 60.00
Last column: nearest neighbours and their distance in Å.
Sites, in units of the cell vectors:
Cs 0.7500 0.7500 0.7500  4 Sb 3.78, 4 In 3.78
Cs 0.2500 0.2500 0.2500  4 In 3.78, 4 Sb 3.78
Sb 0.5000 0.5000 0.5000  8 Cs 3.78
In 0.0000 0.0000 0.0000  8 Cs 3.78